VASP calculation (PBE) on an optimized crystal structure of La2AlGa.

The value obtained for the total magnetization is 0.0 μB per formula unit. The density of states at the Fermi level comes out at 0.5549 states/eV per atom. The formation energy from the elements comes out at -0.46 eV/atom.

abc: 3.7855 3.7855 7.5865
angles: 90.00 90.00 90.00
Element x y z (fractional)
La (0.0000, 0.0000, 0.2468)
La (0.0000, 0.0000, 0.7532)
Al (0.5000, 0.5000, 0.5000)
Ga (0.5000, 0.5000, 0.0000)

=====

VASP calculation (PBE) on an optimized crystal structure of LaAl4Ga2.

The value obtained for the total magnetization is 0.0 μB per formula unit. The density of states at the Fermi level comes out at 0.5872 states/eV per atom. The formation energy from the elements comes out at -0.28 eV/atom.

abc: 7.9732 7.9732 4.2081
angles: 90.00 90.00 149.25
Element x y z (fractional)
La (0.0000, 0.0000, 0.0000)
Al (0.1853, 0.8147, 0.5000)
Al (0.3106, 0.6894, 0.0000)
Al (0.6894, 0.3106, 0.0000)
Al (0.8147, 0.1853, 0.5000)
Ga (0.4176, 0.5824, 0.5000)
Ga (0.5824, 0.4176, 0.5000)

=====

VASP calculation (PBE) on an optimized crystal structure of La8AlGa2.

The value obtained for the total magnetization is 0.0 μB per formula unit. The density of states at the Fermi level comes out at 1.1802 states/eV per atom. The value obtained for the relative energy among the computed polymorphs is 0.0 meV per atom. The formation energy from the elements comes out at -0.24 eV/atom.

abc: 9.0973 9.0973 9.0973
angles: 147.53 121.93 68.13
Element x y z (fractional)
La (0.1192, 0.3442, 0.7751)
La (0.1424, 0.1424, 0.0000)
La (0.3300, 0.0000, 0.3300)
La (0.4309, 0.6558, 0.7751)
La (0.5691, 0.3442, 0.2249)
La (0.6700, 0.0000, 0.6700)
La (0.8576, 0.8576, 0.0000)
La (0.8808, 0.6558, 0.2249)
Al (0.0000, 0.5000, 0.5000)
Ga (0.3049, 0.8049, 0.5000)
Ga (0.6951, 0.1951, 0.5000)

=====

VASP calculation (PBE) on an optimized crystal structure of LaAlGa.

The value obtained for the total magnetization is 0.0 μB per formula unit. The density of states at the Fermi level comes out at 0.6556 states/eV per atom. The formation energy from the elements comes out at -0.61 eV/atom.

abc: 4.3776 4.3776 4.4589
angles: 90.00 90.00 120.00
Element x y z (fractional)
La (0.0000, 0.0000, 0.0000)
Al (0.3333, 0.6667, 0.5000)
Ga (0.6667, 0.3333, 0.5000)

=====

VASP calculation (PBE) on an optimized crystal structure of LaAl3Ga3.

The value obtained for the total magnetization is 0.0 μB per formula unit. The density of states at the Fermi level comes out at 0.3351 states/eV per atom. The value obtained for the relative energy among the computed polymorphs is 0.0 meV per atom. The formation energy from the elements comes out at -0.22 eV/atom.

abc: 8.3148 8.3148 8.3148
angles: 90.00 90.00 90.00
Element x y z (fractional)
La (0.0235, 0.4765, 0.5235)
La (0.4765, 0.5235, 0.0235)
La (0.5235, 0.0235, 0.4765)
La (0.9765, 0.9765, 0.9765)
Al (0.1006, 0.8994, 0.3994)
Al (0.1204, 0.6204, 0.8796)
Al (0.1997, 0.1997, 0.1997)
Al (0.3003, 0.8003, 0.6997)
Al (0.3796, 0.3796, 0.3796)
Al (0.3994, 0.1006, 0.8994)
Al (0.6006, 0.6006, 0.6006)
Al (0.6204, 0.8796, 0.1204)
Al (0.6997, 0.3003, 0.8003)
Al (0.8003, 0.6997, 0.3003)
Al (0.8796, 0.1204, 0.6204)
Al (0.8994, 0.3994, 0.1006)
Ga (0.1020, 0.6464, 0.1869)
Ga (0.1464, 0.3131, 0.8980)
Ga (0.1869, 0.1020, 0.6464)
Ga (0.3131, 0.8980, 0.1464)
Ga (0.3536, 0.6869, 0.3980)
Ga (0.3980, 0.3536, 0.6869)
Ga (0.6020, 0.8536, 0.8131)
Ga (0.6464, 0.1869, 0.1020)
Ga (0.6869, 0.3980, 0.3536)
Ga (0.8131, 0.6020, 0.8536)
Ga (0.8536, 0.8131, 0.6020)
Ga (0.8980, 0.1464, 0.3131)

=====

VASP calculation (PBE) on an optimized crystal structure of La2AlGa.

The value obtained for the total magnetization is 0.0 μB per formula unit. The density of states at the Fermi level comes out at 0.9854 states/eV per atom. The formation energy from the elements comes out at -0.48 eV/atom.

abc: 6.2429 4.2900 9.0032
angles: 90.00 108.54 90.00
Element x y z (fractional)
La (0.2103, 0.2500, 0.4269)
La (0.2827, 0.7500, 0.0703)
La (0.7173, 0.2500, 0.9297)
La (0.7897, 0.7500, 0.5731)
Al (0.3481, 0.7500, 0.7187)
Al (0.6519, 0.2500, 0.2813)
Ga (0.1516, 0.2500, 0.7853)
Ga (0.8484, 0.7500, 0.2147)

=====

VASP calculation (PBE) on an optimized crystal structure of La12AlGa5.

The value obtained for the total magnetization is 0.0 μB per formula unit. The density of states at the Fermi level comes out at 1.3299 states/eV per atom. The formation energy from the elements comes out at -0.36 eV/atom.

abc: 9.0319 9.0319 9.0319
angles: 111.80 110.73 105.94
Element x y z (fractional)
La (0.0553, 0.2500, 0.8053)
La (0.1748, 0.2705, 0.4453)
La (0.1748, 0.7295, 0.9043)
La (0.3296, 0.0380, 0.7084)
La (0.3296, 0.6211, 0.2916)
La (0.4446, 0.2500, 0.1947)
La (0.5554, 0.7500, 0.8053)
La (0.6704, 0.3789, 0.7084)
La (0.6704, 0.9620, 0.2916)
La (0.8252, 0.2705, 0.0957)
La (0.8252, 0.7295, 0.5547)
La (0.9447, 0.7500, 0.1947)
Al (0.5000, 0.5000, 0.0000)
Ga (0.0000, 0.0000, 0.0000)
Ga (0.1205, 0.6205, 0.5000)
Ga (0.3507, 0.0000, 0.3507)
Ga (0.6493, 0.0000, 0.6493)
Ga (0.8795, 0.3795, 0.5000)

=====

VASP calculation (PBE) on an optimized crystal structure of La6Al2Ga.

The value obtained for the total magnetization is 0.0 μB per formula unit. The density of states at the Fermi level comes out at 1.4732 states/eV per atom. The value obtained for the relative energy among the computed polymorphs is 280.2 meV per atom. The formation energy from the elements comes out at 0.02 eV/atom.

abc: 7.8059 7.8059 11.1145
angles: 90.00 90.00 90.00
Element x y z (fractional)
La (0.2175, 0.2175, 0.1682)
La (0.2175, 0.2175, 0.8318)
La (0.2286, 0.2286, 0.5000)
La (0.2714, 0.7286, 0.0000)
La (0.2825, 0.7175, 0.3318)
La (0.2825, 0.7175, 0.6682)
La (0.7175, 0.2825, 0.3318)
La (0.7175, 0.2825, 0.6682)
La (0.7286, 0.2714, 0.0000)
La (0.7714, 0.7714, 0.5000)
La (0.7825, 0.7825, 0.1682)
La (0.7825, 0.7825, 0.8318)
Al (0.0000, 0.0000, 0.3512)
Al (0.0000, 0.0000, 0.6488)
Al (0.5000, 0.5000, 0.1488)
Al (0.5000, 0.5000, 0.8512)
Ga (0.0000, 0.0000, 0.0000)
Ga (0.5000, 0.5000, 0.5000)

=====

VASP calculation (PBE) on an optimized crystal structure of La3Al4Ga4.

The value obtained for the total magnetization is 0.0 μB per formula unit. The density of states at the Fermi level comes out at 0.4050 states/eV per atom. The formation energy from the elements comes out at -0.57 eV/atom.

abc: 13.3682 13.3682 13.3682
angles: 161.21 161.17 26.73
Element x y z (fractional)
La (0.0000, 0.0000, 0.0000)
La (0.3537, 0.8537, 0.5000)
La (0.6463, 0.1463, 0.5000)
Al (0.0947, 0.5947, 0.5000)
Al (0.2500, 0.2500, 0.0000)
Al (0.7500, 0.7500, 0.0000)
Al (0.9053, 0.4053, 0.5000)
Ga (0.1920, 0.6920, 0.5000)
Ga (0.4518, 0.4518, 0.0000)
Ga (0.5482, 0.5482, 0.0000)
Ga (0.8080, 0.3080, 0.5000)

=====

VASP calculation (PBE) on an optimized crystal structure of LaAl2Ga4.

The value obtained for the total magnetization is 0.0 μB per formula unit. The density of states at the Fermi level comes out at 0.3130 states/eV per atom. The formation energy from the elements comes out at -0.33 eV/atom.

abc: 8.4580 8.4580 8.4580
angles: 150.75 150.59 41.96
Element x y z (fractional)
La (0.0000, 0.0000, 0.0000)
Al (0.1719, 0.6719, 0.5000)
Al (0.8281, 0.3281, 0.5000)
Ga (0.3303, 0.8303, 0.5000)
Ga (0.4216, 0.4216, 0.0000)
Ga (0.5784, 0.5784, 0.0000)
Ga (0.6697, 0.1697, 0.5000)

=====

VASP calculation (PBE) on an optimized crystal structure of LaAlGa2.

The value obtained for the total magnetization is 0.0 μB per formula unit. The density of states at the Fermi level comes out at 0.3314 states/eV per atom. The formation energy from the elements comes out at -0.30 eV/atom.

abc: 4.4226 4.6955 4.6955
angles: 78.75 90.00 90.00
Element x y z (fractional)
La (0.0000, 0.0000, 0.0000)
Al (0.5000, 0.6858, 0.6858)
Ga (0.0000, 0.4980, 0.4980)
Ga (0.5000, 0.3009, 0.3009)